1.
Compound: La4Pr2Y
Source: Alexandria via LeMat-Bulk
Functional: PBE-GGA
Structure: relaxed

```
data_La4Pr2Y
_space_group_name_H-M_alt 'P 1'
_space_group_IT_number 1
_space_group_name_Hall 'P 1'
_cell_length_a 9.9090
_cell_length_b 7.0749
_cell_length_c 8.8385
_cell_angle_alpha 103.89
_cell_angle_beta 103.91
_cell_angle_gamma 113.53
loop_
_atom_site_label
_atom_site_type_symbol
_atom_site_fract_x
_atom_site_fract_y
_atom_site_fract_z
La1 La 0.0035 0.6328 0.4394
La2 La 0.2925 0.0679 0.8701
La3 La 0.8868 0.0446 0.3428
La4 La 0.3156 0.1853 0.4892
La5 La 0.8639 0.9189 0.7250
La6 La 0.1460 0.3497 0.1518
La7 La 0.0316 0.7591 0.0640
La8 La 0.6008 0.6140 0.9151
Pr1 Pr 0.4608 0.8977 0.2036
Pr2 Pr 0.7430 0.3216 0.6341
Pr3 Pr 0.1740 0.4758 0.7739
Pr4 Pr 0.5795 0.4945 0.2992
Y1 Y 0.4347 0.7824 0.5832
Y2 Y 0.7173 0.2057 0.0086
```

Values from the calculation:
* polymorph energy (0 for the lowest one): 0.000 eV/atom

2.
Compound: La3Pr7Y2
Source: Alexandria via LeMat-Bulk
Functional: PBE-GGA
Structure: relaxed

```
data_La3Pr7Y2
_space_group_name_H-M_alt 'P 1'
_space_group_IT_number 1
_space_group_name_Hall 'P 1'
_cell_length_a 3.6600
_cell_length_b 5.9579
_cell_length_c 20.0828
_cell_angle_alpha 98.56
_cell_angle_beta 90.00
_cell_angle_gamma 90.00
loop_
_atom_site_label
_atom_site_type_symbol
_atom_site_fract_x
_atom_site_fract_y
_atom_site_fract_z
La1 La 0.5000 0.5000 0.0000
La2 La 0.0000 0.1840 0.3683
La3 La 0.0000 0.8160 0.6317
Pr1 Pr 0.5000 0.7310 0.4623
Pr2 Pr 0.5000 0.2690 0.5377
Pr3 Pr 0.0000 0.5726 0.1456
Pr4 Pr 0.0000 0.0000 0.0000
Pr5 Pr 0.0000 0.4274 0.8544
Pr6 Pr 0.5000 0.9068 0.8133
Pr7 Pr 0.5000 0.0932 0.1867
Y1 Y 0.5000 0.6473 0.2950
Y2 Y 0.5000 0.3527 0.7050
```

Values from the calculation:
* polymorph energy (0 for the lowest one): 0.022 eV/atom

3.
Compound: La8PrY3
Source: Alexandria via LeMat-Bulk
Functional: PBE-GGA
Structure: relaxed

```
data_La8PrY3
_space_group_name_H-M_alt 'P 1'
_space_group_IT_number 1
_space_group_name_Hall 'P 1'
_cell_length_a 9.2834
_cell_length_b 9.2834
_cell_length_c 9.2834
_cell_angle_alpha 73.04
_cell_angle_beta 121.78
_cell_angle_gamma 139.91
loop_
_atom_site_label
_atom_site_type_symbol
_atom_site_fract_x
_atom_site_fract_y
_atom_site_fract_z
La1 La 0.5467 0.2780 0.0733
La2 La 0.4533 0.5266 0.7313
La3 La 0.7953 0.7220 0.2688
La4 La 0.2046 0.4734 0.9267
La5 La 0.2962 0.3691 0.3662
La6 La 0.7038 0.0700 0.0729
La7 La 0.9971 0.6309 0.9271
La8 La 0.0029 0.9300 0.6338
Pr1 Pr 0.0000 0.0000 0.0000
Y1 Y 0.5000 0.8846 0.3846
Y2 Y 0.5000 0.1154 0.6154
Y3 Y 0.0000 0.5000 0.5000
```

4.
Compound: La5PrY12
Source: Alexandria via LeMat-Bulk
Functional: PBE-GGA
Structure: relaxed

```
data_La5PrY12
_space_group_name_H-M_alt 'P 1'
_space_group_IT_number 1
_space_group_name_Hall 'P 1'
_cell_length_a 10.8673
_cell_length_b 10.8882
_cell_length_c 6.2899
_cell_angle_alpha 73.41
_cell_angle_beta 90.00
_cell_angle_gamma 60.06
loop_
_atom_site_label
_atom_site_type_symbol
_atom_site_fract_x
_atom_site_fract_y
_atom_site_fract_z
La1 La 0.5000 0.0000 0.5000
La2 La 0.1665 0.6671 0.5002
La3 La 0.8335 0.3329 0.4998
La4 La 0.6664 0.6673 0.9999
La5 La 0.3337 0.3327 0.0001
Pr1 Pr 0.0000 0.0000 0.0000
Y1 Y 0.8318 0.0000 0.4999
Y2 Y 0.1682 0.0000 0.5001
Y3 Y 0.6694 0.0000 0.9999
Y4 Y 0.3306 0.0000 0.0001
Y5 Y 0.3344 0.6676 0.9992
Y6 Y 0.9980 0.6676 0.9991
Y7 Y 0.0020 0.3324 0.0008
Y8 Y 0.6656 0.3324 0.0008
Y9 Y 0.5020 0.3334 0.4997
Y10 Y 0.8354 0.6666 0.5003
Y11 Y 0.1646 0.3334 0.4997
Y12 Y 0.4981 0.6666 0.5004
```

| no. | energy of formation (meV/atom) | calculated total energy (eV per atom) |
| --- | --- | --- |
| 1 | 32 | -5.0722 |
| 2 | 93 | -5.0040 |
| 3 | 254 | -5.0454 |
| 4 | 24 | -5.9200 |